DFT (GGA-PBEsol) results for a geometry-optimized ReSiW2 structure.

The space group is R3m (No. 160, hexagonal axes) and the conventional cell measures 2.8071, 2.8071 and 25.9855 Å, with angles of 90.00, 90.00 and 120.00 degrees. Symmetry generates all atoms from Re at (0.0000, 0.0000, 0.0000), Si at (0.0000, 0.0000, 0.7437), W at (0.0000, 0.0000, 0.2498) and W at (0.0000, 0.0000, 0.4925).

The formation energy (no corrections) is 152 meV/atom. For the spin magnetization, the calculation gives 0.00 μB/cell.